A relaxed GdBeAsO crystal. Source: the Open Quantum Materials Database, functional PBE-GGA.

Calculated values
Calculated volume = 141.5 Å³/cell
Space-group type = No. 129
Relative energy among the computed polymorphs = 5.572 eV/f.u.
Final energy = -39.55 eV for the cell shown

abc: 3.801 3.801 9.796
angles: 90.00 90.00 90.00
Positions (direct):
Gd1 0.250 0.750 0.000
Gd2 0.750 0.250 0.000
Be1 0.250 0.250 0.490
Be2 0.750 0.750 0.510
As1 0.250 0.250 0.224
As2 0.750 0.750 0.776
O1 0.250 0.750 0.500
O2 0.750 0.250 0.500